The following is a PBE+U calculation of a geometry-optimized MgSiWO6 structure, from the Alexandria database.

**Total energy**: -7.221 eV/atom
**Symmetry**: No. 163
**Spin magnetization**: 0.0 μB/cell

a = 4.925 Å, b = 4.925 Å, c = 9.112 Å
α = 90.00°, β = 90.00°, γ = 120.00°
Element x y z (fractional)
1 Mg 0.000 0.000 0.000
2 Mg 0.000 0.000 0.500
3 Si 0.667 0.333 0.250
4 Si 0.333 0.667 0.750
5 W 0.333 0.667 0.250
6 W 0.667 0.333 0.750
7 O 0.650 0.629 0.138
8 O 0.978 0.350 0.138
9 O 0.350 0.978 0.638
10 O 0.022 0.650 0.862
11 O 0.371 0.350 0.362
12 O 0.978 0.629 0.362
13 O 0.629 0.978 0.862
14 O 0.650 0.022 0.362
15 O 0.022 0.371 0.638
16 O 0.371 0.022 0.138
17 O 0.629 0.650 0.638
18 O 0.350 0.371 0.862